12
Lattice="6.223 0.000 0.000 -3.111 5.389 0.000 0.000 0.000 7.447" Properties=species:S:1:pos:R:3 comment="Rb3HfPb2O6, optimized geometry, DFT PBE-GGA" formation_energy_uncorrected_kj_per_mol_atoms=-168.1 pbc="T T T"
Hf 0.000 0.000 3.724
Rb 0.000 0.000 0.000
Rb 3.111 1.796 2.603
Rb 0.000 3.593 4.844
O 3.111 3.681 4.946
O -1.632 4.535 2.501
O 0.000 1.708 2.501
O 1.479 0.854 4.946
O 1.632 4.535 2.501
O 4.744 0.854 4.946
Pb 3.111 1.796 6.029
Pb 0.000 3.593 1.419



18
Lattice="5.522 0.000 0.000 -2.761 4.782 0.000 0.000 0.000 8.899" Properties=species:S:1:pos:R:3 comment="PaCuSbO6, optimized geometry, DFT PBE-GGA" formation_energy_uncorrected_kj_per_mol_atoms=-174.2 pbc="T T T"
O 1.887 0.115 1.147
O 0.844 1.692 7.752
O 3.635 0.115 3.302
O 1.917 3.090 1.147
O -0.844 1.692 5.597
O 0.874 4.667 7.752
O 1.043 1.577 3.302
O 1.718 3.205 5.597
O -0.874 4.667 5.597
O 3.605 3.090 3.302
O -1.718 3.205 7.752
O 4.478 1.577 1.147
Cu 0.000 0.000 4.450
Cu 0.000 0.000 0.000
Pa 2.761 1.594 6.674
Pa 0.000 3.188 2.225
Sb 2.761 1.594 2.225
Sb 0.000 3.188 6.674



20
Lattice="-0.808 3.620 0.327 -3.604 -0.842 0.414 2.388 -1.136 18.497" Properties=species:S:1:pos:R:3 comment="Hf4Ni15Sn, optimized geometry, DFT PBE-GGA" delta_e_f_ev_per_atom=-0.46 pbc="T T T"
Ni -0.608 -0.989 9.455
Ni 1.743 0.789 16.790
Ni -0.162 1.695 2.034
Ni 1.267 1.015 13.106
Ni 0.790 1.242 9.412
Ni -0.773 0.708 11.465
Ni -1.250 0.935 7.772
Ni 0.345 -1.442 16.834
Ni -2.206 1.389 0.370
Ni -0.296 0.481 15.160
Ni -1.727 1.162 4.078
Ni -0.131 -1.216 13.150
Ni -1.085 -0.762 5.761
Ni 0.313 1.469 5.718
Ni -1.560 -0.536 2.077
Hf 0.476 -0.226 3.685
Hf 0.954 -0.454 7.388
Hf 1.434 -0.682 11.109
Hf 1.913 -0.910 14.812
Sn 0.000 0.000 0.000



8
Lattice="6.532 0.000 0.000 0.000 6.532 0.000 3.266 3.266 2.269" Properties=species:S:1:pos:R:3 comment="Be2CuSi, optimized geometry, DFT PBE-GGA" formation_energy_uncorrected_kj_per_mol_atoms=51.6 pbc="T T T"
Si 3.266 3.266 0.000
Si 3.266 6.532 1.134
Cu 0.000 0.000 0.000
Cu 6.532 3.266 1.134
Be 4.948 1.633 0.567
Be 1.584 4.899 0.567
Be 8.165 8.214 1.702
Be 4.899 4.850 1.702



11
Lattice="6.439 0.000 0.000 3.219 5.576 0.000 3.219 1.859 5.678" Properties=species:S:1:pos:R:3 comment="Ba2SnHg2O6, optimized geometry, DFT PBE-GGA" formation_energy_uncorrected_kj_per_mol_atoms=-136.7 pbc="T T T"
Ba 9.658 5.576 3.566
Ba 3.219 1.859 2.112
Hg 6.439 3.717 4.410
Hg 6.439 3.717 1.269
O 8.300 4.792 1.414
O 8.300 2.642 4.264
O 4.577 2.642 4.264
O 6.439 1.567 1.414
O 4.577 4.792 1.414
O 6.439 5.867 4.264
Sn 0.000 0.000 0.000



8
Lattice="-0.205 0.704 -5.017 -5.019 0.657 0.297 -1.857 6.117 -1.627" Properties=species:S:1:pos:R:3 comment="CaSi2H, optimized geometry, DFT PBE-GGA" de_polymorph_mev_per_atom=462.3 pbc="T T T"
Si -3.678 2.204 -2.102
Si -4.606 5.262 -2.916
Si -1.168 1.875 -2.251
Si -4.709 5.614 -5.425
H -4.744 3.727 -1.845
H -2.612 0.681 -2.360
Ca 0.000 0.000 0.000
Ca -2.337 3.751 -4.502



4
Lattice="3.070 0.000 0.000 0.000 3.594 0.000 0.000 0.000 6.487" Properties=species:S:1:pos:R:3 comment="Ta2CdIr, optimized geometry, DFT PBE-GGA" delta_e_f_ev_per_atom=-0.03 pbc="T T T"
Ta 0.000 0.000 6.356
Ta 1.535 1.797 1.544
Cd 0.000 0.000 3.309
Ir 1.535 1.797 5.010



10
Lattice="3.950 0.000 0.000 0.000 7.809 0.552 0.000 -1.209 7.767" Properties=species:S:1:pos:R:3 comment="NdErS3, optimized geometry, DFT PBE-GGA" formation_energy_uncorrected_kj_per_mol_atoms=-198.5 de_polymorph_mev_per_atom=18.2 pbc="T T T"
Nd 2.963 3.938 6.335
Nd 0.988 2.663 1.985
S 0.988 6.242 5.772
S 2.963 4.424 3.355
S 2.963 0.358 2.547
S 0.988 5.308 0.572
S 2.963 1.292 7.748
S 0.988 2.177 4.965
Er 0.988 6.261 2.996
Er 2.963 0.339 5.323



| no. | raw total energy (Ry/atom) |
| --- | --- |
| 1 | -0.4344 |
| 2 | -0.5203 |
| 3 | -0.5132 |
| 4 | -0.2725 |
| 5 | -0.3593 |
| 6 | -0.2842 |
| 7 | -0.6175 |
| 8 | -0.4704 |